The following is a DFT calculation (PBE) of Nd8Ir2Ru after structural relaxation. Values from VASP.

Values from the calculation:
Volume: 27.82 Å³ per atom
ΔH_f (0 K): -304.3 meV/atom

```
&SYSTEM
  ibrav = 0, nat = 11, ntyp = 3
/
ATOMIC_SPECIES
Nd 144.24 Nd.upf
Ru 101.07 Ru.upf
Ir 192.22 Ir.upf
CELL_PARAMETERS angstrom
4.9627 0.0000 0.0000
0.0000 7.0802 0.3230
-2.4813 -2.6406 8.5887
ATOMIC_POSITIONS crystal
Nd 0.5940 0.4582 0.1879
Nd 0.9715 0.2109 0.9430
Nd 0.3333 0.0324 0.6667
Nd 0.0285 0.7891 0.0570
Nd 0.2044 0.3179 0.4089
Nd 0.4060 0.5418 0.8121
Nd 0.7956 0.6821 0.5911
Nd 0.6667 0.9676 0.3333
Ru 0.5000 0.0000 0.0000
Ir 0.1895 0.7111 0.3791
Ir 0.8105 0.2889 0.6209
```